No. 1
A relaxed structure of Ho5ErMg3. Source: the Alexandria database, functional PBE.

It has space group C2/m (No. 12), with a = 11.347 Å, b = 9.106 Å, c = 11.893 Å, α = 90.00°, β = 104.47° and γ = 90.00°. Symmetry generates all atoms from Ho at (0.000, 0.192, 0.000), Ho at (0.086, 0.000, 0.631), Ho at (0.175, 0.317, 0.794), Ho at (0.224, 0.000, 0.932), Er at (0.119, 0.500, 0.265), Mg at (0.000, 0.500, 0.000), Mg at (0.000, 0.500, 0.500), Mg at (0.081, 0.000, 0.212) and Mg at (0.238, 0.000, 0.440).

The value obtained for the total energy is -3.2020 eV/atom. For the calculated density, the calculation gives 5.9 g/cm³. As for the formation energy: 0.38 eV per atom.

=====

No. 2
A relaxed structure of CaDyErTm. Source: the Alexandria database, functional PBE.

It has space group F-43m (No. 216), with a = 8.058 Å, b = 8.058 Å, c = 8.058 Å, α = 90.00°, β = 90.00° and γ = 90.00°. Symmetry generates all atoms from Ca at (0.000, 0.000, 0.000), Dy at (0.250, 0.250, 0.750), Er at (0.250, 0.250, 0.250) and Tm at (0.000, 0.000, 0.500).

The value obtained for the total energy is -3.7333 eV/atom. For the calculated density, the calculation gives 6.8 g/cm³. As for the formation energy: 0.18 eV per atom.

=====

No. 3
A relaxed structure of RbNaTe3As. Source: the Alexandria database, functional PBE.

It has space group C2/m (No. 12), with a = 11.264 Å, b = 9.651 Å, c = 8.921 Å, α = 90.00°, β = 95.08° and γ = 90.00°. Symmetry generates all atoms from Rb at (0.128, 0.000, 0.381), Na at (0.000, 0.311, 0.000), Te at (0.139, 0.263, 0.714), Te at (0.185, 0.500, 0.224) and As at (0.020, 0.500, 0.645).

The value obtained for the total energy is -3.2003 eV/atom. For the calculated density, the calculation gives 3.9 g/cm³. Its uncorrected formation energy is -0.47 eV/atom.